1.
The following is a PBE-GGA calculation of a relaxed structure of AgGeAs2Se, from Alexandria.

Cell: 4.956 4.956 5.189 Å, 90.00 90.00 90.00°
Fractional coordinates of all 5 atoms:
Ag 0.000 0.000 0.000
Ge 0.500 0.500 0.500
As 0.000 0.500 0.000
As 0.500 0.000 0.000
Se 0.000 0.000 0.500

Calculated values
Crystal system: tetragonal
Calculated volume in A^3/atom: 25.48
Raw total energy in eV/atom: -3.184
Formation energy from raw total energies in eV per atom: 0.87
SG: No. 123
Polymorph energy (0 for the lowest one) in eV per atom: 0.127

2.
The following is a PBE-GGA calculation of a relaxed structure of AgGeAs2Se, from Alexandria.

Cell: 4.970 4.970 5.012 Å, 90.00 90.00 90.00°
Fractional coordinates of all 5 atoms:
Ag 0.000 0.000 0.000
Ge 0.500 0.500 0.500
As 0.000 0.500 0.500
As 0.500 0.000 0.500
Se 0.500 0.500 0.000

Calculated values
Crystal system: tetragonal
Calculated volume in A^3/atom: 24.76
Raw total energy in eV/atom: -3.311
Formation energy from raw total energies in eV per atom: 0.74
SG: No. 123
Polymorph energy (0 for the lowest one) in eV per atom: 0.000

3.
The following is a PBE-GGA calculation of a relaxed structure of AgGeAsSe2, from Alexandria.

Cell: 5.046 5.046 4.946 Å, 90.00 90.00 90.00°
Fractional coordinates of all 5 atoms:
Ag 0.000 0.000 0.000
Ge 0.500 0.500 0.500
As 0.500 0.500 0.000
Se 0.000 0.500 0.500
Se 0.500 0.000 0.500

Calculated values
Crystal system: tetragonal
Calculated volume in A^3/atom: 25.19
Raw total energy in eV/atom: -3.213
Formation energy from raw total energies in eV per atom: 0.60
SG: No. 123
Polymorph energy (0 for the lowest one) in eV per atom: 0.000

4.
The following is a PBE-GGA calculation of a relaxed structure of AgGeTe3As, from Alexandria.

Cell: 7.614 4.071 11.250 Å, 90.00 107.80 90.00°
Fractional coordinates of all 12 atoms:
Ag 0.140 0.250 0.073
Ag 0.860 0.750 0.927
Ge 0.277 0.750 0.732
Ge 0.723 0.250 0.268
Te 0.041 0.250 0.805
Te 0.263 0.250 0.511
Te 0.447 0.750 0.137
Te 0.553 0.250 0.863
Te 0.737 0.750 0.489
Te 0.959 0.750 0.195
As 0.334 0.750 0.356
As 0.666 0.250 0.644

Calculated values
Crystal system: monoclinic
Calculated volume in A^3/atom: 27.67
Raw total energy in eV/atom: -3.515
Formation energy from raw total energies in eV per atom: 0.08
SG: No. 11